ZnFeGe2 after structural relaxation. Source: Alexandria via LeMat-Bulk, functional GGA-PBE.

Cell: 2.9775 2.9775 24.9652 Å, 90.00 90.00 120.00°
Space group R-3m (No. 166, hexagonal axes)
Asymmetric unit:
Zn: 0.0000 0.0000 0.0000 x3
Fe: 0.0000 0.0000 0.5000 x3
Ge: 0.0000 0.0000 0.0983 x6

Values from the calculation:
- Formation energy from the elements: 0.084 eV per atom
- DFT total energy: -55.9 eV/cell